(1)
Compound: Nd5Pt2Au2
Source: Alexandria
Functional: PBE-GGA
Structure: relaxed

Output
density: 10.3 g/cm³
space group: Cmce (64)
ΔH_f (0 K): -0.86 eV per atom
D(E_F): 0.9015 states/eV/atom
crystal system: orthorhombic
size of the total moment: 0.00 μB per formula unit

Geometry as extended XYZ:
```
18
Lattice="7.878 -3.825 0.000 7.878 3.825 0.000 0.000 0.000 8.024" Properties=species:S:1:pos:R:3 pbc="T T T"
Nd 0.000 0.000 0.000
Nd 5.796 2.539 5.391
Nd 5.796 1.286 1.379
Nd 9.960 2.539 5.391
Nd 9.960 1.286 1.379
Nd 7.878 0.000 4.012
Nd 5.796 -1.286 6.645
Nd 5.796 -2.539 2.633
Nd 9.960 -1.286 6.645
Nd 9.960 -2.539 2.633
Pt 7.878 2.832 2.968
Pt 7.878 0.993 6.980
Pt 7.878 -0.993 1.044
Pt 7.878 -2.832 5.056
Au 3.263 0.000 0.000
Au 4.615 0.000 4.012
Au 11.141 0.000 4.012
Au 12.493 0.000 0.000
```



(2)
Compound: Nd8PtAu2
Source: Alexandria
Functional: PBE-GGA
Structure: relaxed

Output
density: 8.8 g/cm³
space group: C2/m (12)
ΔH_f (0 K): -0.48 eV per atom
D(E_F): 0.8841 states/eV/atom
crystal system: monoclinic
size of the total moment: 0.00 μB per formula unit

Geometry as extended XYZ:
```
11
Lattice="9.126 -2.592 0.000 9.126 2.592 0.000 -1.263 0.000 6.930" Properties=species:S:1:pos:R:3 pbc="T T T"
Nd 0.144 0.000 1.920
Nd 2.651 0.000 5.770
Nd 5.521 0.000 3.659
Nd 7.449 0.000 0.378
Nd 9.541 0.000 6.552
Nd 11.469 0.000 3.270
Nd 14.339 0.000 1.160
Nd 16.846 0.000 5.010
Pt 8.495 0.000 3.465
Au 3.180 0.000 1.705
Au 13.810 0.000 5.225
```



(3)
Compound: Nd3PtAu2
Source: Alexandria
Functional: PBE-GGA
Structure: relaxed

Output
density: 10.1 g/cm³
space group: C2/c (15)
ΔH_f (0 K): -0.82 eV per atom
D(E_F): 0.5257 states/eV/atom
crystal system: monoclinic
size of the total moment: 0.00 μB per formula unit

Geometry as extended XYZ:
```
12
Lattice="6.919 -3.024 0.000 6.919 3.024 0.000 -2.573 0.000 8.051" Properties=species:S:1:pos:R:3 pbc="T T T"
Nd 4.989 3.018 6.038
Nd 2.420 0.006 7.433
Nd 3.707 -0.006 3.407
Nd 7.558 0.006 4.643
Nd 8.845 -0.006 0.618
Nd 6.276 -3.018 2.013
Pt 6.276 0.006 2.013
Pt 4.989 -0.006 6.038
Au 0.871 0.006 4.719
Au 2.157 -0.006 0.693
Au 9.107 0.006 7.357
Au 10.394 -0.006 3.332
```



(4)
Compound: NdPt4Au2
Source: Alexandria
Functional: PBE-GGA
Structure: relaxed

Output
density: 12.3 g/cm³
space group: I4/mmm (139)
ΔH_f (0 K): 0.13 eV per atom
D(E_F): 1.1409 states/eV/atom
crystal system: tetragonal
size of the total moment: 0.00 μB per formula unit

Geometry as extended XYZ:
```
7
Lattice="-4.107 4.107 2.649 4.107 -4.107 2.649 4.107 4.107 -2.649" Properties=species:S:1:pos:R:3 pbc="T T T"
Nd 0.000 0.000 0.000
Pt 4.107 2.318 0.000
Pt 2.318 4.107 0.000
Pt 1.789 0.000 2.649
Pt 0.000 1.789 2.649
Au 4.107 0.000 1.324
Au 0.000 4.107 1.324
```